# 1
{"formula": "LiCdW2Cl", "functional": "PBE-GGA", "state": "optimized geometry", "n_ef_per_ev_cell": 3.23, "raw_formation_energy_ev_per_atom": 1.089, "magnetic_moment_mub_per_fu": 0.0, "lattice_angstrom": [[-3.898, -0.651, 2.103], [1.995, -2.553, 2.907], [0.798, 3.566, 2.584]], "species": ["Cl", "Li", "W", "W", "Cd"], "fractional_positions": [[0.000, 0.000, 0.000], [0.000, 0.500, 0.000], [0.000, 0.000, 0.500], [0.500, 0.000, 0.000], [0.500, 0.500, 0.500]]}

---

# 2
{"formula": "V2ReSnH", "functional": "PBE-GGA", "state": "optimized geometry", "n_ef_per_ev_cell": 5.13, "magnetic_moment_mub_per_fu": 0.3, "lattice_angstrom": [[-3.867, 1.393, 2.482], [0.306, -2.689, 1.985], [2.813, 2.513, 2.972]], "species": ["Re", "Sn", "H", "V", "V"], "fractional_positions": [[0.000, 0.000, 0.000], [0.500, 0.500, 0.500], [0.000, 0.500, 0.000], [0.000, 0.000, 0.500], [0.500, 0.000, 0.000]]}

---

# 3
{"formula": "Cs3Dy2SnTe6", "functional": "PBE-GGA", "state": "optimized geometry", "n_ef_per_ev_cell": 4.09, "raw_formation_energy_ev_per_atom": -1.092, "magnetic_moment_mub_per_fu": 0.0, "lattice_angstrom": [[-2.460, -5.129, -5.521], [7.614, 2.191, 0.265], [0.038, -5.788, 7.257]], "species": ["Cs", "Cs", "Cs", "Dy", "Dy", "Sn", "Te", "Te", "Te", "Te", "Te", "Te"], "fractional_positions": [[0.166, 0.834, 0.500], [0.834, 0.166, 0.500], [0.500, 0.500, 0.500], [0.333, 0.667, 0.000], [0.667, 0.333, 0.000], [0.000, 0.000, 0.000], [0.937, 0.603, 0.812], [0.728, 0.728, 0.188], [0.063, 0.397, 0.188], [0.603, 0.937, 0.812], [0.272, 0.272, 0.812], [0.397, 0.063, 0.188]]}

---

# 4
{"formula": "Ca2ScF6", "functional": "PBE-GGA", "state": "optimized geometry", "n_ef_per_ev_cell": 4.32, "raw_formation_energy_ev_per_atom": -3.681, "magnetic_moment_mub_per_fu": 0.9, "lattice_angstrom": [[-1.347, -3.043, -3.850], [1.077, -4.079, 2.847], [-10.241, -0.130, 3.687]], "species": ["Ca", "Ca", "Ca", "Ca", "Sc", "Sc", "F", "F", "F", "F", "F", "F", "F", "F", "F", "F", "F", "F"], "fractional_positions": [[0.000, 0.000, 0.336], [0.500, 0.500, 0.836], [0.500, 0.500, 0.164], [0.000, 0.000, 0.664], [0.000, 0.000, 0.000], [0.500, 0.500, 0.500], [0.316, 0.316, 0.334], [0.684, 0.684, 0.334], [0.184, 0.816, 0.834], [0.816, 0.184, 0.834], [0.184, 0.816, 0.166], [0.816, 0.184, 0.166], [0.316, 0.316, 0.666], [0.684, 0.684, 0.666], [0.292, 0.292, 0.000], [0.708, 0.708, 0.000], [0.208, 0.792, 0.500], [0.792, 0.208, 0.500]]}

---

# 5
{"formula": "LiHfZr2I", "functional": "PBE-GGA", "state": "optimized geometry", "n_ef_per_ev_cell": 5.50, "raw_formation_energy_ev_per_atom": 1.023, "magnetic_moment_mub_per_fu": 0.0, "lattice_angstrom": [[-4.042, 0.929, -3.297], [-1.791, -4.882, 0.820], [-2.913, 1.752, 4.065]], "species": ["I", "Hf", "Zr", "Zr", "Li"], "fractional_positions": [[0.000, 0.000, 0.000], [0.000, 0.500, 0.000], [0.000, 0.000, 0.500], [0.500, 0.000, 0.000], [0.500, 0.500, 0.500]]}

---

# 6
{"formula": "Na2AlGe2", "functional": "PBE-GGA", "state": "optimized geometry", "n_ef_per_ev_cell": 3.58, "magnetic_moment_mub_per_fu": 0.0, "lattice_angstrom": [[2.892, 0.000, 0.000], [0.000, 2.892, 0.000], [0.000, 0.000, 14.238]], "species": ["Na", "Na", "Al", "Ge", "Ge"], "fractional_positions": [[0.500, 0.500, 0.616], [0.500, 0.500, 0.384], [0.500, 0.500, 0.000], [0.500, 0.500, 0.180], [0.500, 0.500, 0.820]]}

---

# 7
{"formula": "TaCoRe2", "functional": "PBE-GGA", "state": "optimized geometry", "n_ef_per_ev_cell": 4.41, "magnetic_moment_mub_per_fu": 0.0, "lattice_angstrom": [[2.754, 0.324, 0.000], [-0.326, 2.753, 0.000], [0.000, 0.000, 7.649]], "species": ["Co", "Re", "Re", "Ta"], "fractional_positions": [[0.500, 0.500, 0.766], [0.000, 0.000, 0.986], [0.500, 0.500, 0.232], [0.000, 0.000, 0.515]]}

---

# 8
{"formula": "CaPrY2In4", "functional": "PBE-GGA", "state": "optimized geometry", "n_ef_per_ev_cell": 3.87, "magnetic_moment_mub_per_fu": 0.0, "lattice_angstrom": [[5.390, 0.000, 0.000], [2.695, 4.668, 0.000], [2.695, 1.556, 8.870]], "species": ["Ca", "Pr", "Y", "Y", "In", "In", "In", "In"], "fractional_positions": [[0.500, 0.500, 0.500], [0.000, 0.000, 0.000], [0.752, 0.752, 0.744], [0.248, 0.248, 0.256], [0.376, 0.376, 0.873], [0.874, 0.874, 0.377], [0.126, 0.126, 0.623], [0.624, 0.624, 0.127]]}

---

# 9
{"formula": "LiHg2Rh", "functional": "PBE-GGA", "state": "optimized geometry", "n_ef_per_ev_cell": 1.10, "magnetic_moment_mub_per_fu": 0.0, "lattice_angstrom": [[-1.923, 0.569, 2.595], [2.458, -0.835, 2.004], [1.983, 6.137, 0.123]], "species": ["Rh", "Hg", "Hg", "Li"], "fractional_positions": [[0.500, 0.500, 0.750], [0.000, 0.000, 0.007], [0.000, 0.000, 0.493], [0.500, 0.500, 0.250]]}

---

# 10
{"formula": "TbPr4S7", "functional": "PBE-GGA", "state": "optimized geometry", "n_ef_per_ev_cell": 1.35, "raw_formation_energy_ev_per_atom": -2.054, "magnetic_moment_mub_per_fu": 0.0, "lattice_angstrom": [[3.966, 0.000, 0.000], [-1.983, 6.472, -1.724], [0.000, -0.055, 11.951]], "species": ["Tb", "Pr", "Pr", "Pr", "Pr", "S", "S", "S", "S", "S", "S", "S"], "fractional_positions": [[0.888, 0.776, 0.578], [0.699, 0.397, 0.807], [0.301, 0.603, 0.193], [0.999, 0.999, 0.997], [0.111, 0.223, 0.424], [0.743, 0.485, 0.357], [0.268, 0.535, 0.647], [0.339, 0.677, 0.948], [0.660, 0.320, 0.051], [0.040, 0.079, 0.778], [0.959, 0.917, 0.215], [0.495, 0.989, 0.503]]}

---

# 11
{"formula": "HoMgTl", "functional": "PBE-GGA", "state": "optimized geometry", "n_ef_per_ev_cell": 2.59, "magnetic_moment_mub_per_fu": 0.0, "lattice_angstrom": [[3.609, 0.000, 0.000], [0.000, 4.947, 0.000], [0.000, -2.473, 4.284]], "species": ["Mg", "Tl", "Ho"], "fractional_positions": [[0.167, 0.000, 0.000], [0.165, 0.333, 0.667], [0.667, 0.667, 0.333]]}

---

# 12
{"formula": "CdGaCu2Te4", "functional": "PBE-GGA", "state": "optimized geometry", "n_ef_per_ev_cell": 5.08, "raw_formation_energy_ev_per_atom": -0.254, "magnetic_moment_mub_per_fu": 0.0, "lattice_angstrom": [[-4.054, 2.616, -3.859], [1.551, -4.069, -4.382], [-3.119, -3.094, 6.123]], "species": ["Cd", "Ga", "Cu", "Cu", "Te", "Te", "Te", "Te"], "fractional_positions": [[0.000, 0.000, 0.000], [0.500, 0.500, 0.000], [0.750, 0.250, 0.500], [0.250, 0.750, 0.500], [0.602, 0.602, 0.727], [0.398, 0.875, 0.273], [0.875, 0.398, 0.273], [0.125, 0.125, 0.727]]}

---

no.,DFT total energy (eV per atom)
1,-5.03
2,-6.85
3,-3.98
4,-6.08
5,-5.08
6,-2.82
7,-10.92
8,-4.31
9,-2.59
10,-6.44
11,-3.08
12,-3.34